Record 1
{
  "formula": "ZrZnTePd2",
  "functional": "meta-GGA SCAN",
  "state": "PBEsol geometry",
  "mass_density_g_cm3": 6.72,
  "vol_a3_per_atom": 24.6,
  "sg": "P4/mmm (123)",
  "energy_ev_per_atom": -29.011,
  "total_magnetization_mub_per_cell": 0.00,
  "raw_formation_energy_ev_per_atom": 0.39,
  "lattice_angstrom": [[4.822, 0.000, 0.000], [0.000, 4.822, 0.000], [0.000, 0.000, 5.283]],
  "species": ["Zr", "Pd", "Pd", "Zn", "Te"],
  "frac_coords": [[0.000, 0.000, 0.500], [0.000, 0.500, 0.000], [0.500, 0.000, 0.000], [0.500, 0.500, 0.500], [0.000, 0.000, 0.000]]
}

=====

Record 2
{
  "formula": "AgTe3F",
  "functional": "meta-GGA SCAN",
  "state": "PBEsol geometry",
  "mass_density_g_cm3": 7.09,
  "vol_a3_per_atom": 23.9,
  "sg": "Pm-3m (221)",
  "energy_ev_per_atom": -29.123,
  "total_magnetization_mub_per_cell": 0.00,
  "raw_formation_energy_ev_per_atom": 0.21,
  "lattice_angstrom": [[-2.424, 4.175, 0.966], [-4.280, -2.302, -0.790], [-0.219, -1.229, 4.763]],
  "species": ["F", "Te", "Te", "Te", "Ag"],
  "frac_coords": [[0.000, 0.000, 0.000], [0.000, 0.000, 0.500], [0.500, 0.000, 0.000], [0.000, 0.500, 0.000], [0.500, 0.500, 0.500]]
}

=====

Record 3
{
  "formula": "CrHg2",
  "functional": "meta-GGA SCAN",
  "state": "PBEsol geometry",
  "mass_density_g_cm3": 11.99,
  "formation_enthalpy_0k_mev_per_atom": 467,
  "vol_a3_per_atom": 20.9,
  "sg": "Fd-3m (227)",
  "energy_ev_per_atom": -51.106,
  "total_magnetization_mub_per_cell": 8.90,
  "lattice_angstrom": [[-1.222, -3.738, -4.015], [4.077, -3.157, -2.235], [0.227, -5.503, 1.120]],
  "species": ["Cr", "Cr", "Hg", "Hg", "Hg", "Hg"],
  "frac_coords": [[0.500, 0.500, 0.500], [0.750, 0.750, 0.750], [0.625, 0.125, 0.125], [0.125, 0.625, 0.125], [0.125, 0.125, 0.625], [0.125, 0.125, 0.125]]
}

=====

Record 4
{
  "formula": "HoLuTl2",
  "functional": "meta-GGA SCAN",
  "state": "PBEsol geometry",
  "mass_density_g_cm3": 12.44,
  "formation_enthalpy_0k_mev_per_atom": -476,
  "vol_a3_per_atom": 25.0,
  "sg": "Fm-3m (225)",
  "energy_ev_per_atom": -62.738,
  "total_magnetization_mub_per_cell": 0.00,
  "lattice_angstrom": [[5.210, 0.000, 0.000], [2.605, 4.512, 0.000], [2.605, 1.504, 4.254]],
  "species": ["Lu", "Ho", "Tl", "Tl"],
  "frac_coords": [[0.000, 0.000, 0.000], [0.500, 0.500, 0.500], [0.250, 0.250, 0.250], [0.750, 0.750, 0.750]]
}

=====

Record 5
{
  "formula": "BeSb2Se",
  "functional": "meta-GGA SCAN",
  "state": "PBEsol geometry",
  "mass_density_g_cm3": 6.44,
  "vol_a3_per_atom": 21.4,
  "de_polymorph_kj_per_mol_atoms": 0.0,
  "sg": "Immm (71)",
  "energy_ev_per_atom": -24.468,
  "total_magnetization_mub_per_cell": 0.00,
  "raw_formation_energy_ev_per_atom": 0.27,
  "lattice_angstrom": [[-1.917, 1.570, -2.348], [1.439, -2.753, -3.016], [-4.145, -2.994, 3.863]],
  "species": ["Be", "Sb", "Sb", "Se"],
  "frac_coords": [[0.500, 0.000, 0.000], [0.824, 0.824, 0.649], [0.176, 0.176, 0.351], [0.000, 0.500, 0.000]]
}

=====

Record 6
{
  "formula": "La2Ti3O9",
  "functional": "meta-GGA SCAN",
  "state": "PBEsol geometry",
  "mass_density_g_cm3": 5.15,
  "vol_a3_per_atom": 13.0,
  "de_polymorph_kj_per_mol_atoms": 7.0,
  "sg": "I23 (197)",
  "energy_ev_per_atom": -17.093,
  "total_magnetization_mub_per_cell": 0.00,
  "raw_formation_energy_ev_per_atom": -3.49,
  "lattice_angstrom": [[7.795, 0.000, 0.000], [-2.598, 7.349, 0.000], [-2.598, -3.675, 6.364]],
  "species": ["O", "O", "O", "O", "O", "O", "O", "O", "O", "O", "O", "O", "O", "O", "O", "O", "O", "O", "Ti", "Ti", "Ti", "Ti", "Ti", "Ti", "La", "La", "La", "La"],
  "frac_coords": [[0.711, 0.966, 0.317], [0.034, 0.745, 0.351], [0.644, 0.644, 0.000], [0.649, 0.394, 0.683], [0.356, 0.356, 0.000], [0.289, 0.606, 0.255], [0.606, 0.255, 0.289], [0.966, 0.317, 0.711], [0.394, 0.683, 0.649], [0.745, 0.351, 0.034], [0.255, 0.289, 0.606], [0.356, 0.000, 0.356], [0.317, 0.711, 0.966], [0.644, 0.000, 0.644], [0.000, 0.644, 0.644], [0.683, 0.649, 0.394], [0.351, 0.034, 0.745], [0.000, 0.356, 0.356], [0.343, 0.843, 0.500], [0.657, 0.157, 0.500], [0.157, 0.500, 0.657], [0.500, 0.343, 0.843], [0.500, 0.657, 0.157], [0.843, 0.500, 0.343], [0.390, 0.390, 0.390], [0.000, 0.610, 0.000], [0.610, 0.000, 0.000], [0.000, 0.000, 0.610]]
}

=====

Record 7
{
  "formula": "SrScTe2",
  "functional": "meta-GGA SCAN",
  "state": "PBEsol geometry",
  "mass_density_g_cm3": 5.49,
  "vol_a3_per_atom": 29.3,
  "de_polymorph_kj_per_mol_atoms": 0.0,
  "sg": "R-3m (166)",
  "energy_ev_per_atom": -29.272,
  "total_magnetization_mub_per_cell": 0.00,
  "raw_formation_energy_ev_per_atom": -1.52,
  "lattice_angstrom": [[4.309, 0.000, 0.000], [2.154, 3.731, 0.000], [2.154, 1.244, 7.294]],
  "species": ["Te", "Te", "Sc", "Sr"],
  "frac_coords": [[0.761, 0.761, 0.718], [0.239, 0.239, 0.282], [0.500, 0.500, 0.500], [0.000, 0.000, 0.000]]
}

=====

Record 8
{
  "formula": "TaAlRh2",
  "functional": "meta-GGA SCAN",
  "state": "PBEsol geometry",
  "mass_density_g_cm3": 11.83,
  "formation_enthalpy_0k_mev_per_atom": -858,
  "vol_a3_per_atom": 14.5,
  "sg": "Pmmm (47)",
  "energy_ev_per_atom": -36.328,
  "total_magnetization_mub_per_cell": 0.00,
  "lattice_angstrom": [[2.847, 0.000, 0.000], [0.000, 3.541, 0.000], [0.000, 0.000, 5.763]],
  "species": ["Rh", "Rh", "Al", "Ta"],
  "frac_coords": [[0.000, 0.000, 0.258], [0.000, 0.000, 0.742], [0.500, 0.500, 0.500], [0.500, 0.500, 0.000]]
}

=====

Record 9
{
  "formula": "LaTl2Pt",
  "functional": "meta-GGA SCAN",
  "state": "PBEsol geometry",
  "mass_density_g_cm3": 13.44,
  "formation_enthalpy_0k_mev_per_atom": -419,
  "vol_a3_per_atom": 22.9,
  "sg": "Fm-3m (225)",
  "energy_ev_per_atom": -64.923,
  "total_magnetization_mub_per_cell": 0.00,
  "lattice_angstrom": [[5.063, 0.000, 0.000], [2.531, 4.385, 0.000], [2.531, 1.462, 4.134]],
  "species": ["La", "Tl", "Tl", "Pt"],
  "frac_coords": [[0.000, 0.000, 0.000], [0.750, 0.750, 0.750], [0.250, 0.250, 0.250], [0.500, 0.500, 0.500]]
}

=====

Record 10
{
  "formula": "BaSiAs2Br",
  "functional": "meta-GGA SCAN",
  "state": "PBEsol geometry",
  "mass_density_g_cm3": 4.55,
  "vol_a3_per_atom": 28.8,
  "sg": "P4/mmm (123)",
  "energy_ev_per_atom": -22.347,
  "total_magnetization_mub_per_cell": 0.00,
  "raw_formation_energy_ev_per_atom": -0.47,
  "lattice_angstrom": [[4.687, 0.000, 0.000], [0.000, 4.687, 0.000], [0.000, 0.000, 6.559]],
  "species": ["Si", "As", "As", "Br", "Ba"],
  "frac_coords": [[0.000, 0.000, 0.000], [0.000, 0.500, 0.000], [0.500, 0.000, 0.000], [0.500, 0.500, 0.500], [0.000, 0.000, 0.500]]
}

=====

Record 11
{
  "formula": "Tl2IF",
  "functional": "meta-GGA SCAN",
  "state": "PBEsol geometry",
  "mass_density_g_cm3": 8.14,
  "vol_a3_per_atom": 28.3,
  "de_polymorph_kj_per_mol_atoms": 19.2,
  "sg": "Fm-3m (225)",
  "energy_ev_per_atom": -47.218,
  "total_magnetization_mub_per_cell": 0.00,
  "raw_formation_energy_ev_per_atom": -0.97,
  "lattice_angstrom": [[-0.616, -0.650, 5.355], [4.288, -1.227, 3.097], [2.016, 3.693, 3.433]],
  "species": ["Tl", "Tl", "F", "I"],
  "frac_coords": [[0.250, 0.250, 0.250], [0.750, 0.750, 0.750], [0.000, 0.000, 0.000], [0.500, 0.500, 0.500]]
}

=====

Record 12
{
  "formula": "SmSeClO3",
  "functional": "meta-GGA SCAN",
  "state": "PBEsol geometry",
  "mass_density_g_cm3": 4.54,
  "vol_a3_per_atom": 19.1,
  "sg": "Pnma (62)",
  "energy_ev_per_atom": -17.416,
  "total_magnetization_mub_per_cell": 0.00,
  "raw_formation_energy_ev_per_atom": -2.22,
  "lattice_angstrom": [[7.088, 0.000, 0.000], [0.000, 7.211, 0.000], [0.000, 0.000, 8.952]],
  "species": ["O", "O", "O", "O", "O", "O", "O", "O", "O", "O", "O", "O", "Se", "Se", "Se", "Se", "Cl", "Cl", "Cl", "Cl", "Sm", "Sm", "Sm", "Sm"],
  "frac_coords": [[0.926, 0.646, 0.066], [0.074, 0.854, 0.566], [0.074, 0.354, 0.934], [0.426, 0.854, 0.566], [0.250, 0.252, 0.684], [0.574, 0.646, 0.066], [0.750, 0.748, 0.316], [0.250, 0.752, 0.816], [0.926, 0.146, 0.434], [0.574, 0.146, 0.434], [0.750, 0.248, 0.184], [0.426, 0.354, 0.934], [0.250, 0.706, 0.631], [0.750, 0.794, 0.131], [0.750, 0.294, 0.369], [0.250, 0.206, 0.869], [0.250, 0.452, 0.323], [0.750, 0.048, 0.823], [0.250, 0.952, 0.177], [0.750, 0.548, 0.677], [0.250, 0.608, 0.040], [0.750, 0.892, 0.540], [0.750, 0.392, 0.960], [0.250, 0.108, 0.460]]
}